ZnHRh after structural relaxation, computed with PBE-GGA. Values from VASP.

As for the crystal system: hexagonal. The final energy is -4.220 eV per atom. The total magnetization comes out at 0.000 μB per formula unit.

The structure in Quantum ESPRESSO input format:
```
&SYSTEM
  ibrav = 0, nat = 3, ntyp = 3
/
ATOMIC_SPECIES
H 1.01 H.upf
Zn 65.41 Zn.upf
Rh 102.91 Rh.upf
CELL_PARAMETERS angstrom
3.953 0.000 0.000
0.000 3.081 0.000
0.000 -1.540 2.668
ATOMIC_POSITIONS crystal
H 0.167 0.667 0.333
Zn 0.667 0.333 0.667
Rh 0.166 0.000 0.000
```